# 1
! Cs4BaTh3Se8 PBE-GGA relaxed; values from VASP
&SYSTEM
  ibrav = 0, nat = 16, ntyp = 4
/
ATOMIC_SPECIES
Cs 132.91 Cs.upf
Ba 137.33 Ba.upf
Th 232.04 Th.upf
Se 78.96 Se.upf
CELL_PARAMETERS angstrom
4.463 2.577 8.423
-4.463 2.577 8.423
0.000 -5.154 8.423
ATOMIC_POSITIONS angstrom
Cs 0.000 0.000 0.000
Cs -2.232 -1.288 8.423
Cs -2.232 1.288 16.846
Cs 0.000 2.577 8.423
Ba 0.000 0.000 12.635
Th -4.463 0.000 12.635
Th -2.232 1.288 4.212
Th 2.232 1.288 4.212
Se -2.408 -1.390 14.272
Se 0.000 0.000 5.798
Se 0.000 -2.780 10.998
Se -2.408 1.390 10.998
Se 2.408 -1.390 14.272
Se 0.000 2.780 14.272
Se 0.000 0.000 19.471
Se 2.408 1.390 10.998
! - VASP energy: -80.88 eV for the cell shown
! - SG: R-3m
! - Fermi-level density of states: 8.96 states/eV/f.u.


# 2
! Cs3BaTh2Se6 PBE-GGA relaxed; values from VASP
&SYSTEM
  ibrav = 0, nat = 12, ntyp = 4
/
ATOMIC_SPECIES
Cs 132.91 Cs.upf
Ba 137.33 Ba.upf
Th 232.04 Th.upf
Se 78.96 Se.upf
CELL_PARAMETERS angstrom
10.637 -2.234 0.000
10.637 2.234 0.000
-3.376 0.000 9.386
ATOMIC_POSITIONS angstrom
Cs 0.000 0.000 0.000
Cs 4.950 0.000 6.272
Cs 12.948 0.000 3.113
Ba -1.688 0.000 4.693
Th 6.479 0.000 1.527
Th 11.419 0.000 7.858
Se 1.390 0.000 5.966
Se 3.675 0.000 0.460
Se 9.227 0.000 2.349
Se 8.671 0.000 7.037
Se 14.223 0.000 8.926
Se 16.508 0.000 3.420
! - VASP energy: -59.71 eV for the cell shown
! - SG: C2/m
! - Fermi-level density of states: 5.17 states/eV/f.u.


# 3
! CsBaTlSe3 PBE-GGA relaxed; values from VASP
&SYSTEM
  ibrav = 0, nat = 12, ntyp = 4
/
ATOMIC_SPECIES
Cs 132.91 Cs.upf
Ba 137.33 Ba.upf
Tl 204.38 Tl.upf
Se 78.96 Se.upf
CELL_PARAMETERS angstrom
8.864 -2.827 0.000
8.864 2.827 0.000
-2.192 0.000 9.289
ATOMIC_POSITIONS angstrom
Cs 2.531 0.000 0.567
Cs 13.005 0.000 8.722
Ba 1.337 0.000 5.221
Ba 14.199 0.000 4.068
Tl 7.103 0.000 6.742
Tl 8.433 0.000 2.547
Se -0.576 0.000 2.540
Se 4.518 0.000 6.095
Se 5.822 0.000 2.115
Se 9.714 0.000 7.173
Se 11.018 0.000 3.194
Se 16.112 0.000 6.749
! - VASP energy: -43.15 eV for the cell shown
! - SG: C2/m
! - Fermi-level density of states: 0.35 states/eV/f.u.


# 4
! Cs2BaTl2Se4 PBE-GGA relaxed; values from VASP
&SYSTEM
  ibrav = 0, nat = 9, ntyp = 4
/
ATOMIC_SPECIES
Cs 132.91 Cs.upf
Ba 137.33 Ba.upf
Tl 204.38 Tl.upf
Se 78.96 Se.upf
CELL_PARAMETERS angstrom
8.689 -2.582 0.000
8.689 2.582 0.000
-2.595 0.000 8.000
ATOMIC_POSITIONS angstrom
Cs 2.075 0.000 0.500
Cs 12.709 0.000 7.500
Ba -1.297 0.000 4.000
Tl 4.445 0.000 3.838
Tl 10.339 0.000 4.162
Se 1.810 0.000 5.385
Se 6.315 0.000 5.897
Se 8.468 0.000 2.102
Se 12.973 0.000 2.614
! - VASP energy: -31.10 eV for the cell shown
! - SG: C2/m
! - Fermi-level density of states: 1.83 states/eV/f.u.